The following is a DFT calculation (PBE) of KSc2Br after structural relaxation.

Cell: 7.4652 7.4652 3.5590 Å, 76.06 76.06 129.32°
Positions (direct):
K (0.0000, 0.5000, 0.5000)
Br (0.5000, 0.0000, 0.5000)
Sc (0.5000, 0.5000, 0.0000)
Sc (0.0000, 0.0000, 0.0000)

## Properties
crystal system = monoclinic
calculated volume = 126.8 Å³/f.u.
calculated total energy = -15.5 eV/cell
raw formation energy = -18 meV/atom
DOS(E_F) = 3.9 states/eV per cell

=====

The following is a DFT calculation (PBE) of KScBr2 after structural relaxation.

Cell: 5.3329 5.3329 5.3329 Å, 60.00 60.00 60.00°
Positions (direct):
Sc (0.5000, 0.5000, 0.5000)
Br (0.2500, 0.2500, 0.2500)
Br (0.7500, 0.7500, 0.7500)
K (0.0000, 0.0000, 0.0000)

## Properties
crystal system = cubic
calculated volume = 107.2 Å³/f.u.
calculated total energy = -14.1 eV/cell
raw formation energy = -835 meV/atom
DOS(E_F) = 2.7 states/eV per cell

=====

The following is a DFT calculation (PBE) of K2ScBr5 after structural relaxation.

Cell: 5.5024 8.7801 14.7666 Å, 90.00 90.00 108.26°
Positions (direct):
Sc (0.1534, 0.3068, 0.2500)
Sc (0.8466, 0.6932, 0.7500)
K (0.1448, 0.2896, 0.5642)
K (0.1448, 0.2896, 0.9358)
K (0.8552, 0.7104, 0.0642)
K (0.8552, 0.7104, 0.4358)
Br (0.2682, 0.5364, 0.3798)
Br (0.0441, 0.0882, 0.3750)
Br (0.9559, 0.9118, 0.8750)
Br (0.7318, 0.4636, 0.8798)
Br (0.3326, 0.6652, 0.7500)
Br (0.9559, 0.9118, 0.6250)
Br (0.2682, 0.5364, 0.1202)
Br (0.0441, 0.0882, 0.1250)
Br (0.7318, 0.4636, 0.6202)
Br (0.6674, 0.3348, 0.2500)

## Properties
crystal system = orthorhombic
calculated volume = 338.7 Å³/f.u.
calculated total energy = -61.0 eV/cell
raw formation energy = -1699 meV/atom
DOS(E_F) = 0.0 states/eV per cell

=====

The following is a DFT calculation (PBE) of KScBr4 after structural relaxation.

Cell: 6.4976 6.4976 6.4976 Å, 60.00 60.00 60.00°
Positions (direct):
Br (0.3745, 0.3745, 0.3745)
Br (0.8766, 0.3745, 0.3745)
Br (0.3745, 0.8766, 0.3745)
Br (0.3745, 0.3745, 0.8766)
K (0.7500, 0.7500, 0.7500)
Sc (0.0000, 0.0000, 0.0000)

## Properties
crystal system = cubic
calculated volume = 194.0 Å³/f.u.
calculated total energy = -14.9 eV/cell
raw formation energy = -127 meV/atom
DOS(E_F) = 13.1 states/eV per cell

=====

The following is a DFT calculation (PBE) of KSc2Br after structural relaxation.

Cell: 6.1507 6.1507 6.1507 Å, 133.42 133.42 67.99°
Positions (direct):
Sc (0.2500, 0.7500, 0.5000)
Sc (0.0000, 0.0000, 0.0000)
Br (0.5000, 0.5000, 0.0000)
K (0.7500, 0.2500, 0.5000)

## Properties
crystal system = tetragonal
calculated volume = 120.6 Å³/f.u.
calculated total energy = -14.1 eV/cell
raw formation energy = 323 meV/atom
DOS(E_F) = 6.1 states/eV per cell

=====

The following is a DFT calculation (PBE) of KSc2Br after structural relaxation.

Cell: 5.6232 5.6232 5.6232 Å, 60.00 60.00 60.00°
Positions (direct):
Sc (0.2500, 0.2500, 0.2500)
Sc (0.0000, 0.0000, 0.0000)
K (0.7500, 0.7500, 0.7500)
Br (0.5000, 0.5000, 0.5000)

## Properties
crystal system = cubic
calculated volume = 125.7 Å³/f.u.
calculated total energy = -14.0 eV/cell
raw formation energy = 361 meV/atom
DOS(E_F) = 5.5 states/eV per cell

=====

The following is a DFT calculation (PBE) of KScBr2 after structural relaxation.

Cell: 3.8424 3.8424 9.2725 Å, 78.03 78.03 59.99°
Positions (direct):
Br (0.0189, 0.0189, 0.9433)
Br (0.4811, 0.4811, 0.5567)
K (0.2500, 0.2500, 0.2500)
Sc (0.7500, 0.7500, 0.7500)

## Properties
crystal system = trigonal
calculated volume = 115.1 Å³/f.u.
calculated total energy = -15.1 eV/cell
raw formation energy = -1076 meV/atom
DOS(E_F) = 2.8 states/eV per cell

=====

The following is a DFT calculation (PBE) of KScBr2 after structural relaxation.

Cell: 10.6668 10.6668 10.6668 Å, 20.98 20.98 20.98°
Positions (direct):
K (0.0000, 0.0000, 0.0000)
Sc (0.5000, 0.5000, 0.5000)
Br (0.8861, 0.8861, 0.8861)
Br (0.1139, 0.1139, 0.1139)

## Properties
crystal system = trigonal
calculated volume = 136.3 Å³/f.u.
calculated total energy = -15.0 eV/cell
raw formation energy = -1064 meV/atom
DOS(E_F) = 3.8 states/eV per cell

=====

The following is a DFT calculation (PBE) of KScBr2 after structural relaxation.

Cell: 6.1561 6.1561 3.7303 Å, 70.32 70.32 89.56°
Positions (direct):
Br (0.0000, 0.0000, 0.0000)
Br (0.5000, 0.5000, 0.0000)
K (0.5000, 0.0000, 0.5000)
Sc (0.0000, 0.5000, 0.5000)

## Properties
crystal system = monoclinic
calculated volume = 124.5 Å³/f.u.
calculated total energy = -14.3 eV/cell
raw formation energy = -887 meV/atom
DOS(E_F) = 2.8 states/eV per cell

=====

The following is a DFT calculation (PBE) of KScBr4 after structural relaxation.

Cell: 4.0651 7.1022 8.2098 Å, 105.43 90.00 106.65°
Positions (direct):
Br (0.6142, 0.2282, 0.9216)
Br (0.8803, 0.7610, 0.6906)
Br (0.1196, 0.2390, 0.3094)
Br (0.3858, 0.7718, 0.0784)
K (0.5000, 0.0000, 0.5000)
Sc (0.0000, 0.9999, 0.0000)

## Properties
crystal system = monoclinic
calculated volume = 218.2 Å³/f.u.
calculated total energy = -24.3 eV/cell
raw formation energy = -1696 meV/atom
DOS(E_F) = 0.0 states/eV per cell

=====

The following is a DFT calculation (PBE) of KScBr3 after structural relaxation.

Cell: 5.4364 5.4364 5.4364 Å, 90.00 90.00 90.00°
Positions (direct):
Br (0.0000, 0.0000, 0.5000)
Br (0.5000, 0.0000, 0.0000)
Br (0.0000, 0.5000, 0.0000)
K (0.5000, 0.5000, 0.5000)
Sc (0.0000, 0.0000, 0.0000)

## Properties
crystal system = cubic
calculated volume = 160.7 Å³/f.u.
calculated total energy = -20.1 eV/cell
raw formation energy = -1521 meV/atom
DOS(E_F) = 2.2 states/eV per cell

=====

The following is a DFT calculation (PBE) of K3Sc2Br9 after structural relaxation.

Cell: 9.9511 9.9511 9.9511 Å, 82.38 82.38 82.38°
Positions (direct):
Br (0.5846, 0.7672, 0.4232)
Br (0.9232, 0.2672, 0.0846)
Br (0.9082, 0.7500, 0.5918)
Br (0.7500, 0.5918, 0.9082)
Br (0.0768, 0.7328, 0.9154)
Br (0.4154, 0.2328, 0.5768)
Br (0.5918, 0.9082, 0.7500)
Br (0.5768, 0.4154, 0.2328)
Br (0.4082, 0.0918, 0.2500)
Br (0.7672, 0.4232, 0.5846)
Br (0.2672, 0.0846, 0.9232)
Br (0.4232, 0.5846, 0.7672)
Br (0.0918, 0.2500, 0.4082)
Br (0.0846, 0.9232, 0.2672)
Br (0.2500, 0.4082, 0.0918)
Br (0.9154, 0.0768, 0.7328)
Br (0.2328, 0.5768, 0.4154)
Br (0.7328, 0.9154, 0.0768)
K (0.5757, 0.2500, 0.9243)
K (0.2500, 0.9243, 0.5757)
K (0.4243, 0.7500, 0.0757)
K (0.7500, 0.0757, 0.4243)
K (0.9243, 0.5757, 0.2500)
K (0.0757, 0.4243, 0.7500)
Sc (0.6549, 0.6549, 0.6549)
Sc (0.8451, 0.8451, 0.8451)
Sc (0.1549, 0.1549, 0.1549)
Sc (0.3451, 0.3451, 0.3451)

## Properties
crystal system = trigonal
calculated volume = 480.7 Å³/f.u.
calculated total energy = -110.3 eV/cell
raw formation energy = -1725 meV/atom
DOS(E_F) = 0.0 states/eV per cell

=====

The following is a DFT calculation (PBE) of KScBr2 after structural relaxation.

Cell: 4.1397 4.1397 9.5312 Å, 90.00 90.00 126.68°
Positions (direct):
K (0.5000, 0.5000, 0.2500)
Br (0.0000, 0.0000, 0.5348)
Br (0.0000, 0.0000, 0.9652)
Sc (0.5000, 0.5000, 0.7500)

## Properties
crystal system = orthorhombic
calculated volume = 131.0 Å³/f.u.
calculated total energy = -14.7 eV/cell
raw formation energy = -985 meV/atom
DOS(E_F) = 2.1 states/eV per cell

=====

The following is a DFT calculation (PBE) of KSc2Br after structural relaxation.

Cell: 7.1428 4.3691 4.3691 Å, 90.00 90.00 90.00°
Positions (direct):
Br (0.5000, 0.5000, 0.0000)
Sc (0.0000, 0.5000, 0.5000)
Sc (0.0000, 0.0000, 0.0000)
K (0.5000, 0.0000, 0.5000)

## Properties
crystal system = tetragonal
calculated volume = 136.3 Å³/f.u.
calculated total energy = -15.3 eV/cell
raw formation energy = 32 meV/atom
DOS(E_F) = 4.0 states/eV per cell

=====

The following is a DFT calculation (PBE) of KSc2Br after structural relaxation.

Cell: 6.9176 6.9176 3.3910 Å, 90.00 90.00 127.69°
Positions (direct):
Br (0.5000, 0.0000, 0.5000)
Sc (0.5000, 0.5000, 0.0000)
Sc (0.0000, 0.0000, 0.0000)
K (0.0000, 0.5000, 0.5000)

## Properties
crystal system = orthorhombic
calculated volume = 128.4 Å³/f.u.
calculated total energy = -14.6 eV/cell
raw formation energy = 214 meV/atom
DOS(E_F) = 3.7 states/eV per cell

=====

The following is a DFT calculation (PBE) of KScBr2 after structural relaxation.

Cell: 5.0660 5.0660 7.5437 Å, 77.29 77.29 43.72°
Positions (direct):
K (0.4773, 0.4773, 0.4983)
Br (0.2384, 0.2384, 0.2204)
Br (0.0467, 0.0467, 0.8442)
Sc (0.7376, 0.7376, 0.9371)

## Properties
crystal system = monoclinic
calculated volume = 130.0 Å³/f.u.
calculated total energy = -15.0 eV/cell
raw formation energy = -1053 meV/atom
DOS(E_F) = 1.6 states/eV per cell

=====

The following is a DFT calculation (PBE) of KSc2Br after structural relaxation.

Cell: 3.4023 3.4023 10.1784 Å, 90.00 90.00 90.00°
Positions (direct):
Sc (0.0000, 0.0000, 0.0755)
Sc (0.0000, 0.0000, 0.4245)
K (0.5000, 0.5000, 0.7500)
Br (0.5000, 0.5000, 0.2500)

## Properties
crystal system = tetragonal
calculated volume = 117.8 Å³/f.u.
calculated total energy = -15.2 eV/cell
raw formation energy = 70 meV/atom
DOS(E_F) = 3.9 states/eV per cell

=====

The following is a DFT calculation (PBE) of K2Sc2Br7 after structural relaxation.

Cell: 7.5005 8.5157 8.5157 Å, 119.70 95.18 95.18°
Positions (direct):
Br (0.0000, 0.0000, 0.0000)
Br (0.7659, 0.5702, 0.5702)
Br (0.7475, 0.3881, 0.0696)
Br (0.2341, 0.4298, 0.4298)
Br (0.2525, 0.6119, 0.9304)
Br (0.7475, 0.0696, 0.3881)
Br (0.2525, 0.9304, 0.6119)
Sc (0.1079, 0.7151, 0.7151)
Sc (0.8921, 0.2849, 0.2849)
K (0.5000, 0.6925, 0.3075)
K (0.5000, 0.3075, 0.6925)

## Properties
crystal system = monoclinic
calculated volume = 464.7 Å³/f.u.
calculated total energy = -44.3 eV/cell
raw formation energy = -1615 meV/atom
DOS(E_F) = 0.9 states/eV per cell

=====

The following is a DFT calculation (PBE) of K3ScBr after structural relaxation.

Cell: 7.2939 7.2939 7.2939 Å, 90.00 90.00 90.00°
Positions (direct):
K (0.0000, 0.5000, 0.0000)
K (0.0000, 0.0000, 0.5000)
K (0.5000, 0.0000, 0.0000)
Sc (0.0000, 0.0000, 0.0000)
Br (0.5000, 0.5000, 0.5000)

## Properties
crystal system = cubic
calculated volume = 388.0 Å³/f.u.
calculated total energy = -9.5 eV/cell
raw formation energy = 360 meV/atom
DOS(E_F) = 4.5 states/eV per cell

=====

The following is a DFT calculation (PBE) of KScBr2 after structural relaxation.

Cell: 5.5980 5.5980 5.5980 Å, 60.00 60.00 60.00°
Positions (direct):
Sc (0.7500, 0.7500, 0.7500)
Br (0.0000, 0.0000, 0.0000)
Br (0.2500, 0.2500, 0.2500)
K (0.5000, 0.5000, 0.5000)

## Properties
crystal system = cubic
calculated volume = 124.0 Å³/f.u.
calculated total energy = -11.8 eV/cell
raw formation energy = -268 meV/atom
DOS(E_F) = 7.6 states/eV per cell